*A*
# PBE AlAgF3, optimized geometry
data_AlAgF3
_chemical_formula_sum 'Al1 Ag1 F3'
_cell_length_a 4.382
_cell_length_b 4.382
_cell_length_c 4.382
_cell_angle_alpha 90.00
_cell_angle_beta 90.00
_cell_angle_gamma 90.00
_symmetry_space_group_name_H-M 'P m -3 m'
_symmetry_Int_Tables_number 221
_symmetry_space_group_name_Hall '-P 4 2 3'
loop_
_atom_site_label
_atom_site_fract_x
_atom_site_fract_y
_atom_site_fract_z
Al1 0.000 0.000 0.000
Ag1 0.500 0.500 0.500
F1 0.000 0.500 0.500
# DOS(E_F), states/eV per cell: 1.88
# Spin magnetization, μB/f.u.: 0.00

*B*
# PBE AlAgF3, optimized geometry
data_AlAgF3
_chemical_formula_sum 'Al1 Ag1 F3'
_cell_length_a 3.953
_cell_length_b 3.953
_cell_length_c 3.953
_cell_angle_alpha 90.00
_cell_angle_beta 90.00
_cell_angle_gamma 90.00
_symmetry_space_group_name_H-M 'P m -3 m'
_symmetry_Int_Tables_number 221
_symmetry_space_group_name_Hall '-P 4 2 3'
loop_
_atom_site_label
_atom_site_fract_x
_atom_site_fract_y
_atom_site_fract_z
Al1 0.000 0.000 0.000
Ag1 0.500 0.500 0.500
F1 0.000 0.000 0.500
# DOS(E_F), states/eV per cell: 0.83
# Spin magnetization, μB/f.u.: 0.00

Most stable to least stable, the ends of the list are *B* and *A*.

*A*
# PBE AlAg3F8, optimized geometry
data_AlAg3F8
_chemical_formula_sum 'Al2 Ag6 F16'
_cell_length_a 5.363
_cell_length_b 5.363
_cell_length_c 10.591
_cell_angle_alpha 90.00
_cell_angle_beta 90.00
_cell_angle_gamma 90.00
_symmetry_space_group_name_H-M 'I 4/m m m'
_symmetry_Int_Tables_number 139
_symmetry_space_group_name_Hall '-I 4 2'
loop_
_atom_site_label
_atom_site_fract_x
_atom_site_fract_y
_atom_site_fract_z
Al1 0.000 0.000 0.000
Ag1 0.000 0.000 0.500
Ag2 0.000 0.500 0.250
F1 0.221 0.221 0.112
# DOS(E_F), states/eV per cell: 27.01
# Spin magnetization, μB/f.u.: 2.14

*B*
# PBE AlAg3F8, optimized geometry
data_AlAg3F8
_chemical_formula_sum 'Al2 Ag6 F16'
_cell_length_a 5.694
_cell_length_b 10.738
_cell_length_c 6.524
_cell_angle_alpha 90.00
_cell_angle_beta 90.00
_cell_angle_gamma 90.00
_symmetry_space_group_name_H-M 'C 2 2 2'
_symmetry_Int_Tables_number 21
_symmetry_space_group_name_Hall 'C 2 2'
loop_
_atom_site_label
_atom_site_fract_x
_atom_site_fract_y
_atom_site_fract_z
Al1 0.000 0.000 0.000
Ag1 0.000 0.000 0.500
Ag2 0.250 0.250 0.244
F1 0.000 0.178 0.000
F2 0.000 0.199 0.500
F3 0.222 0.010 0.199
# DOS(E_F), states/eV per cell: 10.79
# Spin magnetization, μB/f.u.: 1.12

Most stable to least stable, the ends of the list are *B* and *A*.

*A*
# PBE AlAgN2F, optimized geometry
data_AlAgN2F
_chemical_formula_sum 'Al1 Ag1 N2 F1'
_cell_length_a 3.874
_cell_length_b 3.874
_cell_length_c 3.713
_cell_angle_alpha 90.00
_cell_angle_beta 90.00
_cell_angle_gamma 90.00
_symmetry_space_group_name_H-M 'P 4/m m m'
_symmetry_Int_Tables_number 123
_symmetry_space_group_name_Hall '-P 4 2'
loop_
_atom_site_label
_atom_site_fract_x
_atom_site_fract_y
_atom_site_fract_z
Al1 0.000 0.000 0.000
Ag1 0.500 0.500 0.500
N1 0.000 0.500 0.000
F1 0.000 0.000 0.500
# DOS(E_F), states/eV per cell: 2.19
# Spin magnetization, μB/f.u.: 1.17

*B*
# PBE AlAgN2F, optimized geometry
data_AlAgN2F
_chemical_formula_sum 'Al1 Ag1 N2 F1'
_cell_length_a 4.078
_cell_length_b 4.078
_cell_length_c 4.180
_cell_angle_alpha 90.00
_cell_angle_beta 90.00
_cell_angle_gamma 90.00
_symmetry_space_group_name_H-M 'P 4/m m m'
_symmetry_Int_Tables_number 123
_symmetry_space_group_name_Hall '-P 4 2'
loop_
_atom_site_label
_atom_site_fract_x
_atom_site_fract_y
_atom_site_fract_z
Al1 0.000 0.000 0.000
Ag1 0.500 0.500 0.500
N1 0.000 0.500 0.500
F1 0.500 0.500 0.000
# DOS(E_F), states/eV per cell: 2.62
# Spin magnetization, μB/f.u.: 1.20

Most stable to least stable, the ends of the list are *A* and *B*.

*A*
# PBE AlAgNF2, optimized geometry
data_AlAgNF2
_chemical_formula_sum 'Al1 Ag1 N1 F2'
_cell_length_a 3.650
_cell_length_b 3.650
_cell_length_c 4.134
_cell_angle_alpha 90.00
_cell_angle_beta 90.00
_cell_angle_gamma 90.00
_symmetry_space_group_name_H-M 'P 4/m m m'
_symmetry_Int_Tables_number 123
_symmetry_space_group_name_Hall '-P 4 2'
loop_
_atom_site_label
_atom_site_fract_x
_atom_site_fract_y
_atom_site_fract_z
Al1 0.000 0.000 0.000
Ag1 0.500 0.500 0.500
N1 0.000 0.000 0.500
F1 0.000 0.500 0.000
# DOS(E_F), states/eV per cell: 0.87
# Spin magnetization, μB/f.u.: 0.00

*B*
# PBE AlAgNF2, optimized geometry
data_AlAgNF2
_chemical_formula_sum 'Al1 Ag1 N1 F2'
_cell_length_a 4.524
_cell_length_b 4.524
_cell_length_c 4.066
_cell_angle_alpha 90.00
_cell_angle_beta 90.00
_cell_angle_gamma 90.00
_symmetry_space_group_name_H-M 'P 4/m m m'
_symmetry_Int_Tables_number 123
_symmetry_space_group_name_Hall '-P 4 2'
loop_
_atom_site_label
_atom_site_fract_x
_atom_site_fract_y
_atom_site_fract_z
Al1 0.000 0.000 0.000
Ag1 0.500 0.500 0.500
N1 0.500 0.500 0.000
F1 0.000 0.500 0.500
# DOS(E_F), states/eV per cell: 1.71
# Spin magnetization, μB/f.u.: 2.16

Most stable to least stable, the ends of the list are *A* and *B*.

*A*
# PBE AlAgRh2F, optimized geometry
data_AlAgRh2F
_chemical_formula_sum 'Al1 Ag1 Rh2 F1'
_cell_length_a 5.002
_cell_length_b 5.002
_cell_length_c 4.734
_cell_angle_alpha 90.00
_cell_angle_beta 90.00
_cell_angle_gamma 90.00
_symmetry_space_group_name_H-M 'P 4/m m m'
_symmetry_Int_Tables_number 123
_symmetry_space_group_name_Hall '-P 4 2'
loop_
_atom_site_label
_atom_site_fract_x
_atom_site_fract_y
_atom_site_fract_z
Al1 0.000 0.000 0.000
Ag1 0.000 0.000 0.500
Rh1 0.000 0.500 0.500
F1 0.500 0.500 0.000
# DOS(E_F), states/eV per cell: 5.70
# Spin magnetization, μB/f.u.: 2.59

*B*
# PBE AlAgRh2F, optimized geometry
data_AlAgRh2F
_chemical_formula_sum 'Al1 Ag1 Rh2 F1'
_cell_length_a 4.983
_cell_length_b 4.983
_cell_length_c 3.874
_cell_angle_alpha 90.00
_cell_angle_beta 90.00
_cell_angle_gamma 90.00
_symmetry_space_group_name_H-M 'P 4/m m m'
_symmetry_Int_Tables_number 123
_symmetry_space_group_name_Hall '-P 4 2'
loop_
_atom_site_label
_atom_site_fract_x
_atom_site_fract_y
_atom_site_fract_z
Al1 0.000 0.000 0.000
Ag1 0.500 0.500 0.500
Rh1 0.000 0.500 0.500
F1 0.500 0.500 0.000
# DOS(E_F), states/eV per cell: 6.25
# Spin magnetization, μB/f.u.: 0.00

Most stable to least stable, the ends of the list are *B* and *A*.

*A*
# PBE Al2FeAg, optimized geometry
data_Al2FeAg
_chemical_formula_sum 'Al4 Fe2 Ag2'
_cell_length_a 3.073
_cell_length_b 4.116
_cell_length_c 9.038
_cell_angle_alpha 90.00
_cell_angle_beta 90.00
_cell_angle_gamma 90.00
_symmetry_space_group_name_H-M 'I m m 2'
_symmetry_Int_Tables_number 44
_symmetry_space_group_name_Hall 'I 2 -2'
loop_
_atom_site_label
_atom_site_fract_x
_atom_site_fract_y
_atom_site_fract_z
Al1 0.000 0.000 0.000
Al2 0.000 0.500 0.225
Fe1 0.000 0.500 0.709
Ag1 0.000 0.000 0.462
# DOS(E_F), states/eV per cell: 4.26
# Spin magnetization, μB/f.u.: 0.00

*B*
# PBE Al2FeAg, optimized geometry
data_Al2FeAg
_chemical_formula_sum 'Al4 Fe2 Ag2'
_cell_length_a 3.700
_cell_length_b 3.700
_cell_length_c 8.409
_cell_angle_alpha 90.00
_cell_angle_beta 90.00
_cell_angle_gamma 90.00
_symmetry_space_group_name_H-M 'I -4 m 2'
_symmetry_Int_Tables_number 119
_symmetry_space_group_name_Hall 'I -4 -2'
loop_
_atom_site_label
_atom_site_fract_x
_atom_site_fract_y
_atom_site_fract_z
Al1 0.000 0.000 0.000
Al2 0.000 0.500 0.250
Fe1 0.000 0.500 0.750
Ag1 0.000 0.000 0.500
# DOS(E_F), states/eV per cell: 4.03
# Spin magnetization, μB/f.u.: 1.28

*C*
# PBE Al2FeAg, optimized geometry
data_Al2FeAg
_chemical_formula_sum 'Al8 Fe4 Ag4'
_cell_length_a 6.846
_cell_length_b 6.846
_cell_length_c 5.501
_cell_angle_alpha 90.00
_cell_angle_beta 90.00
_cell_angle_gamma 90.00
_symmetry_space_group_name_H-M 'I -4 2 d'
_symmetry_Int_Tables_number 122
_symmetry_space_group_name_Hall 'I -4 2bw'
loop_
_atom_site_label
_atom_site_fract_x
_atom_site_fract_y
_atom_site_fract_z
Al1 0.231 0.250 0.125
Fe1 0.000 0.000 0.000
Ag1 0.000 0.000 0.500
# DOS(E_F), states/eV per cell: 14.55
# Spin magnetization, μB/f.u.: 1.49

Most stable to least stable, the ends of the list are *B* and *C*.